No. 1
## Pm3SmDy2Se6 (GGA-PBE)

Data for an optimized crystal structure of Pm3SmDy2Se6.

**Crystal system**: monoclinic
**Raw formation energy**: -21.66 eV per formula unit
**Calculated total energy**: -5.895 eV per atom

Geometry as CIF:
```
data_Pm3SmDy2Se6
_space_group_name_H-M_alt 'C 1 2/m 1'
_space_group_IT_number 12
_cell_length_a 18.118
_cell_length_b 4.130
_cell_length_c 8.361
_cell_angle_alpha 90.00
_cell_angle_beta 103.81
_cell_angle_gamma 90.00
loop_
_space_group_symop_operation_xyz
'x,y,z'
'-x,-y,-z'
'-x,y,-z'
'x,-y,z'
'x+1/2,y+1/2,z'
'-x+1/2,-y+1/2,-z'
'-x+1/2,y+1/2,-z'
'x+1/2,-y+1/2,z'
loop_
_atom_site_label
_atom_site_fract_x
_atom_site_fract_y
_atom_site_fract_z
Pm1 0.000 0.000 0.000
Pm2 0.164 0.500 0.333
Sm1 0.000 0.000 0.500
Dy1 0.166 0.500 0.832
Se1 0.003 0.500 0.750
Se2 0.167 0.000 0.592
Se3 0.170 0.000 0.077
```

=====

No. 2
## AcSm14Sc (GGA-PBE)

Data for an optimized crystal structure of AcSm14Sc.

**Crystal system**: tetragonal
**Formation energy from the elements**: 2.7 kJ per mole of atoms
**Calculated total energy**: -4.754 eV per atom

Geometry as CIF:
```
data_AcSm14Sc
_space_group_name_H-M_alt 'P 4/m m m'
_space_group_IT_number 123
_space_group_name_Hall '-P 4 2'
_cell_length_a 7.262
_cell_length_b 7.262
_cell_length_c 10.234
_cell_angle_alpha 90.00
_cell_angle_beta 90.00
_cell_angle_gamma 90.00
loop_
_atom_site_label
_atom_site_fract_x
_atom_site_fract_y
_atom_site_fract_z
Ac1 0.000 0.000 0.000
Sm1 0.000 0.000 0.500
Sm2 0.000 0.500 0.000
Sm3 0.000 0.500 0.500
Sm4 0.255 0.255 0.249
Sm5 0.500 0.500 0.500
Sc1 0.500 0.500 0.000
```

=====

No. 3
## ZrNi3Te (GGA-PBE)

Data for an optimized crystal structure of ZrNi3Te.

**Crystal system**: cubic
**Energy relative to the lowest polymorph listed for this composition**: 0 meV/atom
**Raw formation energy**: 2.76 eV per formula unit
**Calculated total energy**: -5.255 eV per atom

Geometry as CIF:
```
data_ZrNi3Te
_space_group_name_H-M_alt 'P m -3 m'
_space_group_IT_number 221
_space_group_name_Hall '-P 4 2 3'
_cell_length_a 4.559
_cell_length_b 4.559
_cell_length_c 4.559
_cell_angle_alpha 90.00
_cell_angle_beta 90.00
_cell_angle_gamma 90.00
loop_
_atom_site_label
_atom_site_fract_x
_atom_site_fract_y
_atom_site_fract_z
Zr1 0.000 0.000 0.000
Ni1 0.000 0.500 0.500
Te1 0.500 0.500 0.500
```

=====

No. 4
## LiCa2Mo (GGA-PBE)

Data for an optimized crystal structure of LiCa2Mo.

**Crystal system**: orthorhombic
**Formation energy from the elements**: 64.0 kJ per mole of atoms
**Energy relative to the lowest polymorph listed for this composition**: 98 meV/atom
**Calculated total energy**: -3.524 eV per atom

Geometry as CIF:
```
data_LiCa2Mo
_space_group_name_H-M_alt 'C m m m'
_space_group_IT_number 65
_space_group_name_Hall '-C 2 2'
_cell_length_a 7.240
_cell_length_b 8.647
_cell_length_c 3.110
_cell_angle_alpha 90.00
_cell_angle_beta 90.00
_cell_angle_gamma 90.00
loop_
_atom_site_label
_atom_site_fract_x
_atom_site_fract_y
_atom_site_fract_z
Li1 0.000 0.000 0.000
Ca1 0.250 0.250 0.500
Mo1 0.000 0.500 0.000
```

=====

No. 5
## Cs2RbCu2Br7 (GGA-PBE)

Data for an optimized crystal structure of Cs2RbCu2Br7.

**Crystal system**: tetragonal
**Raw formation energy**: -12.33 eV per formula unit
**Calculated total energy**: -2.909 eV per atom

Geometry as CIF:
```
data_Cs2RbCu2Br7
_space_group_name_H-M_alt 'I 4/m m m'
_space_group_IT_number 139
_space_group_name_Hall '-I 4 2'
_cell_length_a 5.311
_cell_length_b 5.311
_cell_length_c 27.762
_cell_angle_alpha 90.00
_cell_angle_beta 90.00
_cell_angle_gamma 90.00
loop_
_atom_site_label
_atom_site_fract_x
_atom_site_fract_y
_atom_site_fract_z
Cs1 0.000 0.000 0.180
Rb1 0.000 0.000 0.000
Cu1 0.000 0.000 0.407
Br1 0.000 0.000 0.316
Br2 0.000 0.000 0.500
Br3 0.000 0.500 0.088
```

=====

No. 6
## K2CrReN4 (GGA-PBE)

Data for an optimized crystal structure of K2CrReN4.

**Crystal system**: orthorhombic
**Raw formation energy**: -2.54 eV per formula unit
**Calculated total energy**: -7.514 eV per atom

Geometry as CIF:
```
data_K2CrReN4
_space_group_name_H-M_alt 'P m m n'
_space_group_IT_number 59
_cell_length_a 5.981
_cell_length_b 6.477
_cell_length_c 6.787
_cell_angle_alpha 90.00
_cell_angle_beta 90.00
_cell_angle_gamma 90.00
loop_
_space_group_symop_operation_xyz
'x,y,z'
'-x,-y,-z'
'-x+1/2,-y+1/2,z'
'x+1/2,y+1/2,-z'
'x+1/2,-y,-z'
'-x+1/2,y,z'
'-x,y+1/2,-z'
'x,-y+1/2,z'
loop_
_atom_site_label
_atom_site_fract_x
_atom_site_fract_y
_atom_site_fract_z
K1 0.250 0.001 0.202
Cr1 0.250 0.750 0.654
Re1 0.250 0.250 0.650
N1 0.005 0.750 0.505
N2 0.250 0.503 0.791
```

=====

No. 7
## MnAs2PbS (GGA-PBE)

Data for an optimized crystal structure of MnAs2PbS.

**Crystal system**: tetragonal
**Raw formation energy**: 0.92 eV per formula unit
**Calculated total energy**: -5.078 eV per atom

Geometry as CIF:
```
data_MnAs2PbS
_space_group_name_H-M_alt 'P 4/m m m'
_space_group_IT_number 123
_space_group_name_Hall '-P 4 2'
_cell_length_a 4.435
_cell_length_b 4.435
_cell_length_c 5.474
_cell_angle_alpha 90.00
_cell_angle_beta 90.00
_cell_angle_gamma 90.00
loop_
_atom_site_label
_atom_site_fract_x
_atom_site_fract_y
_atom_site_fract_z
Mn1 0.000 0.000 0.000
As1 0.000 0.500 0.000
Pb1 0.000 0.000 0.500
S1 0.500 0.500 0.500
```

=====

No. 8
## Ta2CuNi (GGA-PBE)

Data for an optimized crystal structure of Ta2CuNi.

**Crystal system**: monoclinic
**Formation energy from the elements**: 4.3 kJ per mole of atoms
**Energy relative to the lowest polymorph listed for this composition**: 113 meV/atom
**Calculated total energy**: -8.351 eV per atom

Geometry as CIF:
```
data_Ta2CuNi
_space_group_name_H-M_alt 'C 1 m 1'
_space_group_IT_number 8
_cell_length_a 9.038
_cell_length_b 2.868
_cell_length_c 4.770
_cell_angle_alpha 90.00
_cell_angle_beta 103.84
_cell_angle_gamma 90.00
loop_
_space_group_symop_operation_xyz
'x,y,z'
'x,-y,z'
'x+1/2,y+1/2,z'
'x+1/2,-y+1/2,z'
loop_
_atom_site_label
_atom_site_fract_x
_atom_site_fract_y
_atom_site_fract_z
Ta1 0.000 0.000 0.000
Ta2 0.240 0.000 0.694
Cu1 0.483 0.000 0.477
Ni1 0.248 0.500 0.211
```

=====

Question: The highest calculated total energy belongs to which entry?
Answer: Cs2RbCu2Br7

=====

Question: Among the records above, which one has the highest calculated total energy?
Answer: Cs2RbCu2Br7

=====

Question: Which value of calculated total energy does entry 4 give?
Answer: -3.524 eV per atom

=====

Question: Look up the calculated total energy of the fifth one.
Answer: -2.909 eV per atom